No. 1
First-principles (GGA-PBE) data for a relaxed Na2ThZrS4 crystal, as listed in Alexandria via LeMat-Bulk.

Properties
Formation energy without anion corrections, eV per formula unit: -12.382
Calculated volume, Å³ per cell: 177.76
Fermi-level density of states, states/eV per cell: 4.20
Spin magnetization, μB per cell: 0.0

The structure in CIF format:
```
data_Na2ThZrS4
_cell_length_a 6.6642
_cell_length_b 3.8671
_cell_length_c 7.2475
_cell_angle_alpha 90.00
_cell_angle_beta 107.87
_cell_angle_gamma 90.00
_symmetry_space_group_name_H-M 'P 1 2/m 1'
_symmetry_Int_Tables_number 10
loop_
_symmetry_equiv_pos_as_xyz
'x,y,z'
'-x,-y,-z'
'-x,y,-z'
'x,-y,z'
loop_
_atom_site_label
_atom_site_fract_x
_atom_site_fract_y
_atom_site_fract_z
_atom_site_occupancy
Na1 0.0000 0.0000 0.0000 1
Na2 0.5000 0.5000 0.0000 1
Th1 0.0000 0.5000 0.5000 1
Zr1 0.5000 0.0000 0.5000 1
S1 0.2621 0.0000 0.7385 1
S2 0.2722 0.5000 0.2730 1
```

No. 2
First-principles (GGA-PBE) data for a relaxed Na5TiS4 crystal, as listed in Alexandria via LeMat-Bulk.

Properties
Formation energy without anion corrections, eV per formula unit: -10.068
Calculated volume, Å³ per cell: 444.98
Fermi-level density of states, states/eV per cell: 9.17
Spin magnetization, μB per cell: 2.0

The structure in CIF format:
```
data_Na5TiS4
_cell_length_a 16.7918
_cell_length_b 4.0319
_cell_length_c 7.2937
_cell_angle_alpha 90.00
_cell_angle_beta 115.69
_cell_angle_gamma 90.00
_symmetry_space_group_name_H-M 'C 1 2/m 1'
_symmetry_Int_Tables_number 12
loop_
_symmetry_equiv_pos_as_xyz
'x,y,z'
'-x,-y,-z'
'-x,y,-z'
'x,-y,z'
'x+1/2,y+1/2,z'
'-x+1/2,-y+1/2,-z'
'-x+1/2,y+1/2,-z'
'x+1/2,-y+1/2,z'
loop_
_atom_site_label
_atom_site_fract_x
_atom_site_fract_y
_atom_site_fract_z
_atom_site_occupancy
Na1 0.0000 0.0000 0.0000 1
Na2 0.1739 0.5000 0.4308 1
Na3 0.1739 0.5000 0.9166 1
Ti1 0.0000 0.0000 0.5000 1
S1 0.0000 0.5000 0.2722 1
S2 0.1805 0.0000 0.6804 1
```

No. 3
First-principles (GGA-PBE) data for a relaxed NaTi2S crystal, as listed in Alexandria via LeMat-Bulk.

Properties
Formation energy without anion corrections, eV per formula unit: 0.421
Calculated volume, Å³ per cell: 354.64
Fermi-level density of states, states/eV per cell: 12.87
Spin magnetization, μB per cell: 0.0

The structure in CIF format:
```
data_NaTi2S
_cell_length_a 4.4473
_cell_length_b 4.4473
_cell_length_c 17.9305
_cell_angle_alpha 90.00
_cell_angle_beta 90.00
_cell_angle_gamma 90.00
_symmetry_space_group_name_H-M 'I -4 2 d'
_symmetry_Int_Tables_number 122
_symmetry_space_group_name_Hall 'I -4 2bw'
loop_
_atom_site_label
_atom_site_fract_x
_atom_site_fract_y
_atom_site_fract_z
_atom_site_occupancy
Na1 0.0000 0.0000 0.0000 1
Ti1 0.0216 0.2500 0.6250 1
S1 0.0000 0.0000 0.5000 1
```

No. 4
First-principles (GGA-PBE) data for a relaxed Na3TiS3 crystal, as listed in Alexandria via LeMat-Bulk.

Properties
Formation energy without anion corrections, eV per formula unit: -8.380
Calculated volume, Å³ per cell: 1287.93
Spin magnetization, μB per cell: 0.0

The structure in CIF format:
```
data_Na3TiS3
_cell_length_a 17.1392
_cell_length_b 6.5301
_cell_length_c 11.5075
_cell_angle_alpha 90.00
_cell_angle_beta 90.00
_cell_angle_gamma 90.00
_symmetry_space_group_name_H-M 'C m c e'
_symmetry_Int_Tables_number 64
_symmetry_space_group_name_Hall '-C 2ac 2'
loop_
_atom_site_label
_atom_site_fract_x
_atom_site_fract_y
_atom_site_fract_z
_atom_site_occupancy
Na1 0.0000 0.1343 0.1603 1
Na2 0.1797 0.1441 0.8663 1
Ti1 0.0846 0.0000 0.5000 1
S1 0.0000 0.2185 0.3969 1
S2 0.1568 0.2086 0.6197 1
```